(1)
This record from Alexandria via LeMat-Bulk describes crystalline Tb3Pm2Nd6Tl at its relaxed geometry. The functional is GGA-PBE.

Output
**Density of states at the Fermi level**: 13.9 states/eV per cell
**E_tot**: -4.555 eV per atom
**M_tot**: 0.000 μB per formula unit
**ΔH_f (0 K)**: -0.3 eV per formula unit
**Space-group type**: C2/m
**Calculated volume**: 396.76 Å³ per cell

Cell lengths 6.247, 6.247, 11.940 Å; angles 95.04, 95.04, 120.13 degrees
Sites, in units of the cell vectors:
Pm 0.666 0.334 0.000
Pm 0.334 0.666 0.000
Nd 0.243 0.243 0.749
Nd 0.590 0.917 0.750
Nd 0.917 0.590 0.750
Nd 0.083 0.410 0.250
Nd 0.757 0.757 0.251
Nd 0.410 0.083 0.250
Tb 0.500 0.500 0.500
Tb 0.833 0.167 0.500
Tb 0.167 0.833 0.500
Tl 0.000 0.000 0.000

---

(2)
This record from Alexandria via LeMat-Bulk describes crystalline KRbCaSn at its relaxed geometry. The functional is GGA-PBE.

Output
**E_tot**: -2.166 eV per atom
**M_tot**: 0.000 μB per formula unit
**ΔH_f (0 K)**: -0.6 eV per formula unit
**Space-group type**: F-43m
**Calculated volume**: 149.95 Å³ per cell

Cell lengths 5.963, 5.963, 5.963 Å; angles 60.00, 60.00, 60.00 degrees
Sites, in units of the cell vectors:
Sn 0.250 0.250 0.250
K 0.500 0.500 0.500
Rb 0.750 0.750 0.750
Ca 0.000 0.000 0.000

---

(3)
This record from Alexandria via LeMat-Bulk describes crystalline Pr3Dy3YS8 at its relaxed geometry. The functional is GGA-PBE.

Output
**Density of states at the Fermi level**: 7.0 states/eV per cell
**E_tot**: -6.560 eV per atom
**Formation energy from raw total energies**: -2.052 eV/atom
**M_tot**: 0.000 μB per formula unit
**Space-group type**: R-3m
**Calculated volume**: 360.43 Å³ per cell

Cell lengths 7.935, 7.935, 8.042 Å; angles 119.56, 90.00, 120.00 degrees
Sites, in units of the cell vectors:
S 0.754 0.012 0.266
S 0.256 0.512 0.268
S 0.246 0.493 0.734
S 0.744 0.488 0.732
S 0.258 0.012 0.266
S 0.742 0.988 0.734
S 0.246 0.988 0.734
S 0.754 0.507 0.266
Pr 0.500 0.500 0.000
Pr 0.000 0.000 0.000
Pr 0.000 0.500 0.000
Y 0.000 0.000 0.500
Dy 0.500 0.000 0.500
Dy 0.000 0.500 0.500
Dy 0.500 0.500 0.500

---

(4)
This record from Alexandria via LeMat-Bulk describes crystalline FeSiOs2 at its relaxed geometry. The functional is GGA-PBE.

Output
**Density of states at the Fermi level**: 3.1 states/eV per cell
**E_tot**: -8.115 eV per atom
**Formation energy from raw total energies**: 0.971 eV/atom
**M_tot**: 0.000 μB per formula unit
**Space-group type**: I-42d
**Calculated volume**: 149.14 Å³ per cell

Cell lengths 5.367, 5.367, 6.420 Å; angles 65.29, 65.29, 90.00 degrees
Sites, in units of the cell vectors:
Os 0.643 0.125 0.250
Os 0.107 0.625 0.250
Os 0.875 0.893 0.750
Os 0.375 0.357 0.750
Si 0.250 0.750 0.500
Si 0.500 0.500 0.000
Fe 0.750 0.250 0.500
Fe 0.000 0.000 0.000

---

(5)
This record from Alexandria via LeMat-Bulk describes crystalline Sm2Y3Bi2Sb2 at its relaxed geometry. The functional is GGA-PBE.

Output
**Density of states at the Fermi level**: 6.4 states/eV per cell
**E_tot**: -5.645 eV per atom
**Formation energy from raw total energies**: -0.663 eV/atom
**M_tot**: 0.000 μB per formula unit
**Space-group type**: I4/mmm
**Calculated volume**: 281.98 Å³ per cell

Cell lengths 6.082, 6.082, 8.752 Å; angles 110.33, 110.33, 90.00 degrees
Sites, in units of the cell vectors:
Sb 0.500 0.000 0.000
Sb 0.000 0.500 0.000
Sm 0.591 0.591 0.182
Sm 0.409 0.409 0.818
Y 0.750 0.250 0.500
Y 0.250 0.750 0.500
Y 0.000 0.000 0.000
Bi 0.795 0.795 0.591
Bi 0.205 0.205 0.409

---

(6)
This record from Alexandria via LeMat-Bulk describes crystalline Fe4Mo3 at its relaxed geometry. The functional is GGA-PBE.

Output
**Density of states at the Fermi level**: 6.5 states/eV per cell
**E_tot**: -9.092 eV per atom
**M_tot**: 8.066 μB per formula unit
**Energy above the most stable polymorph in this dataset**: 2.03 eV per formula unit
**ΔH_f (0 K)**: 2.7 eV per formula unit
**Space-group type**: P6/mmm
**Calculated volume**: 100.44 Å³ per cell

Cell lengths 4.977, 4.977, 4.682 Å; angles 90.00, 90.00, 120.00 degrees
Sites, in units of the cell vectors:
Mo 0.500 0.500 0.000
Mo 0.500 0.000 0.000
Mo 0.000 0.500 0.000
Fe 0.333 0.667 0.500
Fe 0.667 0.333 0.500
Fe 0.000 0.000 0.269
Fe 0.000 0.000 0.731